(1)
! PBE MoPtRh2, relaxed; values from VASP
&SYSTEM
  ibrav = 0, nat = 4, ntyp = 3
/
ATOMIC_SPECIES
Pt 195.08 Pt.upf
Rh 102.91 Rh.upf
Mo 95.94 Mo.upf
CELL_PARAMETERS angstrom
4.794 0.012 -0.001
1.638 4.505 0.002
-3.215 -2.259 2.743
ATOMIC_POSITIONS crystal
Pt 0.250 0.750 0.500
Rh 0.750 0.250 0.500
Rh 0.000 0.000 0.000
Mo 0.500 0.500 0.000
! - Uncorrected energy: -8.113 eV/atom
! - Relative energy among the computed polymorphs: 36.7 meV/atom

---

(2)
! PBE Dy2ThZn6, relaxed; values from VASP
&SYSTEM
  ibrav = 0, nat = 9, ntyp = 3
/
ATOMIC_SPECIES
Th 232.04 Th.upf
Zn 65.41 Zn.upf
Dy 162.50 Dy.upf
CELL_PARAMETERS angstrom
-2.660 -0.059 -2.316
-4.419 -3.848 5.174
-0.053 7.814 -0.139
ATOMIC_POSITIONS crystal
Th 0.000 0.000 0.000
Zn 0.500 0.662 0.000
Zn 0.500 0.338 0.337
Zn 0.500 0.000 0.337
Zn 0.500 0.338 0.000
Zn 0.500 0.662 0.663
Zn 0.500 0.000 0.663
Dy 0.000 0.333 0.667
Dy 0.000 0.667 0.333
! - Uncorrected energy: -3.033 eV/atom

---

(3)
! PBE MgCu2Cl, relaxed; values from VASP
&SYSTEM
  ibrav = 0, nat = 4, ntyp = 3
/
ATOMIC_SPECIES
Mg 24.30 Mg.upf
Cu 63.55 Cu.upf
Cl 35.45 Cl.upf
CELL_PARAMETERS angstrom
-0.748 1.944 3.867
1.926 0.116 3.946
4.081 6.085 2.688
ATOMIC_POSITIONS crystal
Mg 0.566 0.566 0.559
Cu 0.965 0.965 0.880
Cu 0.726 0.726 0.795
Cl 0.243 0.243 0.267
! - Uncorrected energy: -3.135 eV/atom
! - E_form (uncorrected): -226 meV/atom
! - Relative energy among the computed polymorphs: 38.9 meV/atom

---

(4)
! PBE Ca2Ac6Fe, relaxed; values from VASP
&SYSTEM
  ibrav = 0, nat = 18, ntyp = 3
/
ATOMIC_SPECIES
Ac 227.00 Ac.upf
Fe 55.84 Fe.upf
Ca 40.08 Ca.upf
CELL_PARAMETERS angstrom
8.103 0.000 -0.203
0.000 8.105 0.000
0.285 0.000 11.387
ATOMIC_POSITIONS crystal
Ac 0.001 0.000 0.251
Ac 0.752 0.752 0.500
Ac 0.248 0.248 0.500
Ac 0.748 0.252 0.000
Ac 0.252 0.748 0.000
Ac 0.499 0.500 0.249
Ac 0.501 0.500 0.751
Ac 0.248 0.752 0.500
Ac 0.748 0.748 0.000
Ac 0.999 0.000 0.749
Ac 0.752 0.248 0.500
Ac 0.252 0.252 0.000
Fe 0.500 0.500 0.000
Fe 0.000 0.000 0.500
Ca 0.000 0.500 0.750
Ca 0.500 0.000 0.250
Ca 0.500 0.000 0.750
Ca 0.000 0.500 0.250
! - Uncorrected energy: -4.078 eV/atom

---

(5)
! PBE Sc6SnTe3P2, relaxed; values from VASP
&SYSTEM
  ibrav = 0, nat = 12, ntyp = 4
/
ATOMIC_SPECIES
P 30.97 P.upf
Sc 44.96 Sc.upf
Te 127.60 Te.upf
Sn 118.71 Sn.upf
CELL_PARAMETERS angstrom
3.962 0.000 0.000
0.000 8.199 0.241
-1.981 -2.414 8.499
ATOMIC_POSITIONS crystal
P 0.169 0.340 0.339
P 0.831 0.660 0.661
Sc 0.985 0.745 0.969
Sc 0.669 0.123 0.339
Sc 0.678 0.563 0.356
Sc 0.015 0.255 0.031
Sc 0.322 0.437 0.644
Sc 0.331 0.877 0.661
Te 0.838 0.166 0.676
Te 0.162 0.834 0.324
Te 0.500 0.500 0.000
Sn 0.500 0.000 0.000
! - Uncorrected energy: -6.385 eV/atom
! - E_form (uncorrected): -1198 meV/atom

---

(6)
! PBE Ce2HoPu, relaxed; values from VASP
&SYSTEM
  ibrav = 0, nat = 4, ntyp = 3
/
ATOMIC_SPECIES
Ce 140.12 Ce.upf
Ho 164.93 Ho.upf
Pu 244.00 Pu.upf
CELL_PARAMETERS angstrom
-2.685 -2.128 -0.411
-0.848 -2.213 2.509
-7.820 6.085 5.096
ATOMIC_POSITIONS crystal
Ce 0.089 0.089 0.733
Ce 0.245 0.245 0.264
Ho 0.668 0.668 0.995
Pu 0.498 0.498 0.507
! - Uncorrected energy: -7.573 eV/atom
! - Relative energy among the computed polymorphs: 13.6 meV/atom

---

Question: Among the records above, which one has the highest uncorrected energy?
Answer: Dy2ThZn6